Entry 1:
InAg4As | GGA-PBEsol | relaxed

a b c (Å): 7.662 7.662 7.662
angles (deg): 90.00 90.00 90.00
Space group F-43m (No. 216)
Asymmetric unit:
In  0.000  0.000  0.000 x4
Ag  0.125  0.125  0.375 x16
As  0.250  0.250  0.750 x4

Computed properties:
As for the calculated formation energy: 0.139 eV/atom.


Entry 2:
MnZnAg | GGA-PBEsol | relaxed

a b c (Å): 2.768 3.836 8.216
angles (deg): 90.00 90.00 90.00
Space group Imm2 (No. 44)
Asymmetric unit:
Mn  0.000  0.000  0.000 x2
Zn  0.000  0.000  0.342 x2
Ag  0.000  0.000  0.673 x2

Computed properties:
The value obtained for the energy above the most stable polymorph in this dataset is 0 meV per atom. As for the calculated formation energy: 0.191 eV/atom.


Entry 3:
ZnNi5 | GGA-PBEsol | relaxed

a b c (Å): 4.2817 4.2817 4.0451
angles (deg): 90.00 90.00 120.00
Space group P-62m (No. 189)
Asymmetric unit:
Zn  0.0000  0.0000  0.0000 x1
Ni  0.0000  0.3418  0.5000 x3
Ni  0.3333  0.6667  0.0000 x2

Computed properties:
As for the calculated formation energy: -0.063 eV/atom.


Entry 4:
BaMgCu2 | GGA-PBEsol | relaxed

a b c (Å): 4.2877 4.2877 18.1790
angles (deg): 90.00 90.00 120.00
Space group R3m (No. 160, hexagonal axes)
Asymmetric unit:
Ba  0.0000  0.0000  0.0000 x3
Mg  0.0000  0.0000  0.8153 x3
Cu  0.0000  0.0000  0.2065 x3
Cu  0.0000  0.0000  0.5374 x3

Computed properties:
As for the calculated formation energy: 0.025 eV/atom.


Entry 5:
Zr4Pt2N | GGA-PBEsol | relaxed

a b c (Å): 12.407 12.407 12.407
angles (deg): 90.00 90.00 90.00
Space group Fd-3m (No. 227, origin choice 2)
Asymmetric unit:
Zr  0.000  0.000  0.000 x16
Zr  0.057  0.375  0.875 x48
Pt  0.032  0.032  0.218 x32
N  0.000  0.000  0.500 x16

Computed properties:
The calculation puts the formation energy (no corrections) at -1255 meV/atom.


Entry 6:
Li3Mn2SbO6 | GGA-PBEsol | relaxed

a b c (Å): 5.370 9.247 5.214
angles (deg): 90.00 110.71 90.00
Space group C2/m (No. 12)
Asymmetric unit:
Li  0.000  0.000  0.000 x2
Li  0.000  0.336  0.000 x4
Mn  0.000  0.167  0.500 x4
Sb  0.000  0.500  0.500 x2
O  0.231  0.500  0.270 x4
O  0.233  0.345  0.739 x8

Computed properties:
The calculation puts the formation energy (no corrections) at -1642 meV/atom.


Number 1: total energy -3.4171 eV/atom, calculated volume 449.88 Å³/cell, D(E_F) 2.028 states/eV/f.u.. Number 2: total energy -4.6938 eV/atom, calculated volume 87.24 Å³/cell, D(E_F) 1.393 states/eV/f.u.. Number 3: total energy -5.4580 eV/atom, calculated volume 64.22 Å³/cell, D(E_F) 9.271 states/eV/f.u.. Number 4: total energy -3.1090 eV/atom, calculated volume 289.44 Å³/cell, D(E_F) 2.143 states/eV/f.u.. Number 5: total energy -9.6571 eV/atom, calculated volume 1910.07 Å³/cell, D(E_F) 2.725 states/eV/f.u.. Number 6: total energy -6.7646 eV/atom, calculated volume 242.19 Å³/cell, D(E_F) 0.259 states/eV/f.u..